This record from Alexandria via LeMat-Bulk describes crystalline ZnCu4W5O20 at its relaxed geometry. The functional is PBE+U.

space group	No. 1
total moment	4.0	μB per formula unit
DOS(E_F)	1.51	states/eV/f.u.
calculated density	7.32	Mg/m³
E	-6.615	eV/atom

Lattice parameters (Å, degrees): 4.784 7.583 19.666 90.61 97.17 93.08
Site moments in Bohr magnetons follow the coordinates.
Atoms (fractional coordinates):
O 0.758 0.979 0.683  0.07
O 0.743 0.736 0.442  0.07
O 0.726 0.140 0.244  0.07
O 0.739 0.332 0.643  0.13
O 0.780 0.233 0.928  0.03
O 0.251 0.218 0.718  0.07
O 0.256 0.074 0.156  0.07
O 0.767 0.838 0.132  0.01
O 0.768 0.503 0.192  0.07
O 0.261 0.617 0.515  0.07
O 0.272 0.866 0.757  0.14
O 0.791 0.631 0.728  0.03
O 0.746 0.581 0.883  0.07
O 0.221 0.295 0.410  0.02
O 0.216 0.499 0.811  0.08
O 0.794 0.698 0.589  0.08
O 0.260 0.468 0.957  0.14
O 0.227 0.966 0.471  0.01
O 0.769 0.378 0.486  0.01
O 0.739 0.184 0.083  0.07
O 0.241 0.821 0.918  0.07
O 0.192 0.772 0.074  0.02
O 0.283 0.265 0.558  0.13
O 0.754 0.782 0.286  0.01
O 0.234 0.422 0.118  0.07
O 0.228 0.897 0.610  0.07
O 0.783 0.436 0.332  0.01
O 0.206 0.102 0.011  0.08
O 0.206 0.371 0.273  0.01
O 0.773 0.902 0.990  0.07
O 0.784 0.100 0.391  0.07
O 0.783 0.300 0.790  0.08
O 0.221 0.566 0.672  0.02
O 0.728 0.933 0.843  0.12
O 0.273 0.672 0.356  0.06
O 0.209 0.168 0.873  0.02
O 0.206 0.699 0.211  0.02
O 0.717 0.536 0.044  0.13
O 0.247 0.019 0.315  0.06
O 0.801 0.029 0.529  0.02
W 0.994 0.605 0.284  0.01
W 0.006 0.199 0.483  0.01
W 0.991 0.598 0.120  0.04
W 0.013 0.398 0.718  0.04
W 0.980 0.006 0.082  0.04
W 0.021 0.795 0.516  0.03
W 0.986 0.402 0.882  0.04
W 0.005 0.195 0.318  0.03
W 0.998 0.800 0.681  0.04
W 0.001 0.999 0.918  0.04
Cu 0.483 0.310 0.020  0.63
Cu 0.506 0.091 0.780  0.62
Cu 0.489 0.297 0.183  0.62
Cu 0.497 0.693 0.980  0.62
Cu 0.506 0.895 0.381  0.62
Cu 0.518 0.490 0.579  0.62
Cu 0.495 0.707 0.818  0.62
Cu 0.506 0.105 0.619  0.62
Zn 0.533 0.492 0.408  0.00
Zn 0.519 0.897 0.208  0.00